Hg3SbPd GGA-PBE optimized geometry; DOS at the Fermi energy = 2.3 states/eV/f.u.; excess energy over the best structure of this formula in the dataset = 0 meV/atom; raw formation energy = 1.51 eV/f.u.
1.0
5.2007 0.0000 0.0000
0.0000 5.2007 0.0000
0.0000 0.0000 5.2007
Hg Sb Pd
3 1 1
direct
0.0000 0.0000 0.5000 Hg
0.0000 0.5000 0.0000 Hg
0.5000 0.0000 0.0000 Hg
0.5000 0.5000 0.5000 Sb
0.0000 0.0000 0.0000 Pd

---

HgSb2Pd8 GGA-PBE optimized geometry; DOS at the Fermi energy = 4.4 states/eV/f.u.; excess energy over the best structure of this formula in the dataset = 4 meV/atom; raw formation energy = -3.46 eV/f.u.
1.0
4.6052 0.0000 0.0000
-0.2304 6.1607 0.0000
-2.1752 -3.0730 6.7482
Hg Sb Pd
1 2 8
direct
0.0000 0.0000 0.0000 Hg
0.3119 0.3830 0.6864 Sb
0.6255 0.6964 0.3121 Sb
0.0697 0.5580 0.9996 Pd
0.1442 0.4418 0.3369 Pd
0.1638 0.9502 0.3863 Pd
0.3411 0.8435 0.7249 Pd
0.5594 0.3027 0.9994 Pd
0.6170 0.1191 0.2748 Pd
0.7766 0.5638 0.6129 Pd
0.8070 0.1041 0.6624 Pd

---

HgSbPd GGA-PBE optimized geometry; DOS at the Fermi energy = 1.6 states/eV/f.u.; raw formation energy = -0.54 eV/f.u.
1.0
0.0000 5.0270 9.6756
2.6643 0.0000 9.6756
2.6643 5.0270 0.0000
Hg Sb Pd
4 4 4
direct
0.0398 0.7102 0.0398 Hg
0.2898 0.9602 0.2898 Hg
0.7102 0.0398 0.7102 Hg
0.9602 0.2898 0.9602 Hg
0.2938 0.2938 0.4562 Sb
0.4562 0.4562 0.2938 Sb
0.5438 0.5438 0.7062 Sb
0.7062 0.7062 0.5438 Sb
0.0019 0.0019 0.7481 Pd
0.2519 0.2519 0.9981 Pd
0.7481 0.7481 0.0019 Pd
0.9981 0.9981 0.2519 Pd

---

HgSb2Pd5 GGA-PBE optimized geometry; DOS at the Fermi energy = 4.0 states/eV/f.u.; raw formation energy = -1.09 eV/f.u.
1.0
1.5367 -8.8105 0.0000
1.5367 8.8105 0.0000
0.0000 0.0000 11.5961
Hg Sb Pd
2 4 10
direct
0.1425 0.8575 0.7500 Hg
0.8575 0.1425 0.2500 Hg
0.1234 0.8766 0.0160 Sb
0.1234 0.8766 0.4840 Sb
0.8766 0.1234 0.5160 Sb
0.8766 0.1234 0.9840 Sb
0.0067 0.9933 0.6291 Pd
0.0067 0.9933 0.8709 Pd
0.1336 0.8664 0.2500 Pd
0.2651 0.7349 0.6047 Pd
0.2651 0.7349 0.8953 Pd
0.7349 0.2651 0.1047 Pd
0.7349 0.2651 0.3953 Pd
0.8664 0.1336 0.7500 Pd
0.9933 0.0067 0.1291 Pd
0.9933 0.0067 0.3709 Pd